No. 1
16
Lattice="6.968 0.000 0.000 0.000 12.313 0.000 0.000 0.000 4.883" Properties=species:S:1:pos:R:3 comment="Ho5Hg2Pt | Alexandria via LeMat-Bulk | PBE | optimized geometry" final_energy_ev_per_atom=-4.286 formation_energy_mev_per_atom=-595 e_above_lowest_polymorph_mev_per_atom=0 pbc="T T T"
Ho 0.000 0.000 0.000
Ho 0.992 3.554 0.000
Ho 1.212 7.233 2.441
Ho 2.273 1.077 2.441
Ho 2.492 9.710 0.000
Ho 3.484 6.157 0.000
Ho 4.476 2.603 0.000
Ho 4.696 11.237 2.441
Ho 5.757 5.080 2.441
Ho 5.976 8.759 0.000
Hg 0.597 10.310 2.441
Hg 2.888 4.153 2.441
Hg 4.081 8.160 2.441
Hg 6.372 2.003 2.441
Pt 0.000 6.157 0.000
Pt 3.484 0.000 0.000

***

No. 2
5
Lattice="4.714 0.000 0.000 0.000 4.714 0.000 0.000 0.000 5.099" Properties=species:S:1:pos:R:3 comment="Li2MgOsS | Alexandria via LeMat-Bulk | PBE | optimized geometry" formation_energy_uncorrected_ev_per_atom=0.8724 final_energy_ev_per_atom=-3.283 pbc="T T T"
Li 0.000 2.357 0.000
Li 2.357 0.000 0.000
Mg 0.000 0.000 2.550
Os 0.000 0.000 0.000
S 2.357 2.357 2.550

***

No. 3
5
Lattice="4.046 0.000 0.000 0.000 4.046 0.000 0.000 0.000 5.971" Properties=species:S:1:pos:R:3 comment="CsTiBeN2 | Alexandria via LeMat-Bulk | PBE | optimized geometry" formation_energy_uncorrected_ev_per_atom=1.1971 final_energy_ev_per_atom=-4.628 pbc="T T T"
Cs 0.000 0.000 0.000
Ti 0.000 0.000 2.986
Be 2.023 2.023 0.000
N 0.000 2.023 2.986
N 2.023 0.000 2.986

***

No. 4
15
Lattice="6.276 -6.277 0.000 6.276 6.277 0.000 -6.265 0.000 6.279" Properties=species:S:1:pos:R:3 comment="Dy4Er3Bi8 | Alexandria via LeMat-Bulk | PBE | optimized geometry" final_energy_ev_per_atom=-4.871 formation_energy_mev_per_atom=-661 pbc="T T T"
Dy 0.000 0.000 0.000
Dy 3.138 3.139 0.000
Dy 3.138 -3.139 0.000
Dy 3.143 0.000 3.139
Er 0.005 3.139 3.139
Er 0.005 -3.139 3.139
Er 6.276 0.000 0.000
Bi 3.143 3.208 3.139
Bi -0.065 0.000 3.150
Bi -3.117 0.000 6.210
Bi 6.276 3.130 0.000
Bi 6.276 -3.130 0.000
Bi 9.403 0.000 0.069
Bi 6.351 0.000 3.129
Bi 3.143 -3.208 3.139